(1)
Compound: AcInRh3Pb
Source: Alexandria
Functional: PBE-GGA
Structure: optimized geometry

```
AcInRh3Pb
1.0
5.783 0.000 0.000
0.000 5.793 0.000
0.000 -2.896 8.872
Rh Pb In Ac
6 2 2 2
Cartesian
2.891 4.267 0.000
0.000 4.267 0.000
4.337 2.896 4.468
1.446 0.000 4.404
0.000 1.526 0.000
2.891 1.526 0.000
1.446 0.000 1.711
4.337 2.896 7.161
4.337 2.896 1.825
1.446 0.000 7.047
1.446 2.896 4.309
4.337 0.000 4.563
```

Results
Space-group type: No. 63
Magnetization: 0.0000 μB per atom
DFT formation energy: -0.24 eV/atom
Total energy: -5.680 eV per atom



(2)
Compound: Ac2InRhPb
Source: Alexandria
Functional: PBE-GGA
Structure: optimized geometry

```
Ac2InRhPb
1.0
4.583 0.000 0.000
0.000 8.416 0.375
0.000 -3.175 7.833
Pb Ac In Rh
2 4 2 2
Cartesian
3.437 0.585 5.291
1.146 4.655 2.918
3.437 5.932 0.493
1.146 -0.200 2.581
1.146 -0.692 7.715
3.437 5.441 5.627
1.146 2.646 5.474
3.437 2.595 2.734
3.437 0.680 0.755
1.146 4.561 7.453
```

Results
Space-group type: No. 11
Magnetization: 0.0001 μB per atom
DFT formation energy: -0.56 eV/atom
Total energy: -4.965 eV per atom



(3)
Compound: AcIn2PbS4
Source: Alexandria
Functional: PBE-GGA
Structure: optimized geometry

```
AcIn2PbS4
1.0
4.306 0.000 0.000
0.000 7.407 -0.140
0.000 2.614 6.924
S In Ac Pb
4 2 1 1
Cartesian
4.306 2.545 1.734
0.000 7.476 5.050
2.153 3.861 5.080
2.153 6.160 1.704
0.000 2.614 6.924
2.153 1.307 3.462
0.000 5.011 3.392
2.153 3.704 -0.070
```

Results
Space-group type: No. 10
Uncorrected formation energy: -0.8624 eV/atom
Magnetization: 0.0000 μB per atom
Total energy: -4.588 eV per atom



(4)
Compound: AcScInPb
Source: Alexandria
Functional: PBE-GGA
Structure: optimized geometry

```
AcScInPb
1.0
-2.993 3.435 3.130
0.229 -0.374 5.511
2.507 3.956 2.937
Pb Ac In Sc
1 1 1 1
Cartesian
-0.064 1.754 2.895
0.000 0.000 0.000
-0.193 5.263 8.684
-0.128 3.508 5.789
```

Results
Space-group type: No. 216
Magnetization: 0.0000 μB per atom
DFT formation energy: -0.31 eV/atom
Total energy: -4.533 eV per atom



The highest magnetization belongs to which entry?
Ac2InRhPb